# MnTlTe2

An optimized crystal structure of MnTlTe2 (PBE, Alexandria via LeMat-Bulk).

Geometry as POSCAR:
```
MnTlTe2
1.0
7.789 0.000 0.000
0.000 4.841 0.000
0.000 0.000 11.889
Tl Te Mn
4 8 4
Direct
0.337 0.250 0.375
0.163 0.750 0.875
0.663 0.750 0.625
0.837 0.250 0.125
0.881 0.250 0.455
0.619 0.750 0.955
0.119 0.750 0.545
0.381 0.250 0.045
0.389 0.250 0.711
0.111 0.750 0.211
0.611 0.750 0.289
0.889 0.250 0.789
0.090 0.250 0.628
0.410 0.750 0.128
0.910 0.750 0.372
0.590 0.250 0.872
```

Values from the calculation:
Formation energy from raw total energies in eV/atom: 0.0880
Crystal system: orthorhombic

# SiBiHOs2

An optimized crystal structure of SiBiHOs2 (PBE, Alexandria via LeMat-Bulk).

Geometry as POSCAR:
```
SiBiHOs2
1.0
-1.599 -3.434 -1.679
3.771 -1.713 -0.088
-0.634 -1.592 3.861
H Si Os Bi
1 1 2 1
Direct
0.000 0.000 0.000
0.500 0.500 0.500
0.000 0.500 0.000
0.500 0.000 0.000
0.000 0.000 0.500
```

Values from the calculation:
Crystal system: tetragonal

# TlReBr2

An optimized crystal structure of TlReBr2 (PBE, Alexandria via LeMat-Bulk).

Geometry as POSCAR:
```
TlReBr2
1.0
-2.580 -3.369 -5.360
2.039 -6.055 -2.432
-1.712 3.307 5.734
Re Tl Br
1 1 2
Direct
0.500 0.500 0.000
0.750 0.250 0.500
0.000 0.000 0.000
0.250 0.750 0.500
```

Values from the calculation:
Formation energy from raw total energies in eV/atom: 1.0010
Energy relative to the lowest polymorph listed for this composition in eV/atom: 0.683
Crystal system: tetragonal

| no. | E (eV per atom) | DOS at the Fermi energy (states/eV per cell) |
| --- | --- | --- |
| 1 | -4.367 | 15.458 |
| 2 | -5.967 | 5.145 |
| 3 | -3.539 | 2.547 |